Here is PaFePd2O8 after structural relaxation from Alexandria via LeMat-Bulk. Energies are from PBE with a Hubbard U.

The space group is I-4m2 (No. 119) and the conventional cell measures 6.808, 6.808 and 6.862 Å, with angles of 90.00, 90.00 and 90.00 degrees. The inequivalent atoms are Pa at (0.000, 0.000, 0.000), Fe at (0.000, 0.500, 0.750), Pd at (0.000, 0.000, 0.500), Pd at (0.000, 0.500, 0.250), O at (0.000, 0.187, 0.717) and O at (0.000, 0.326, 0.025).

The volume comes out at 159.0 Å³/f.u. As for the density of states at the Fermi level: 2.016 states/eV/f.u. The value obtained for the density is 6554 kg/m³. The value obtained for the total energy is -6.5825 eV/atom.